Entry 1:
The following is a DFT calculation (PBE-GGA) of a relaxed structure of Ac3PtAuO.

Its formation energy from raw total energies is -1.580 eV per atom. Its crystal system is monoclinic.

a = 9.0491 Å, b = 4.3547 Å, c = 9.6195 Å
α = 90.00°, β = 99.96°, γ = 90.00°
Space group P2_1/m (No. 11)
One atom of each set of equivalent atoms:
Ac  0.0728  0.2500  0.3358 x2
Ac  0.3171  0.2500  0.9814 x2
Ac  0.3936  0.7500  0.6489 x2
Pt  0.1614  0.2500  0.6564 x2
Au  0.3263  0.7500  0.2832 x2
O  0.4152  0.7500  0.9113 x2

---

Entry 2:
The following is a DFT calculation (PBE-GGA) of a relaxed structure of Al2AgRu.

The formation energy is -0.34 eV per atom. Its crystal system is monoclinic.

a = 9.4262 Å, b = 3.1127 Å, c = 4.2967 Å
α = 90.00°, β = 107.31°, γ = 90.00°
Space group Cm (No. 8)
One atom of each set of equivalent atoms:
Al  0.0000  0.0000  0.0000 x2
Al  0.2377  0.0000  0.6422 x2
Ag  0.4884  0.0000  0.4849 x2
Ru  0.2270  0.5000  0.1222 x2

---

Entry 3:
The following is a DFT calculation (PBE-GGA) of a relaxed structure of CrOsC2.

The formation energy is 0.64 eV per atom. As for the distance to the lowest polymorph of the same formula: 0 meV/atom. Its crystal system is tetragonal.

a = 4.5035 Å, b = 4.5035 Å, c = 9.0442 Å
α = 90.00°, β = 90.00°, γ = 90.00°
Space group I-42d (No. 122)
One atom of each set of equivalent atoms:
Cr  0.0000  0.0000  0.0000 x4
Os  0.0000  0.0000  0.5000 x4
C  0.2411  0.2500  0.1250 x8

---

Entry 4:
The following is a DFT calculation (PBE-GGA) of a relaxed structure of SrSi3Pt3.

As for the distance to the lowest polymorph of the same formula: 98 meV/atom. Its formation energy from raw total energies is -0.634 eV per atom. Its crystal system is hexagonal.

a = 8.9981 Å, b = 8.9981 Å, c = 4.3760 Å
α = 90.00°, β = 90.00°, γ = 120.00°
Space group P6_3/m (No. 176)
One atom of each set of equivalent atoms:
Sr  0.3333  0.6667  0.2500 x2
Si  0.0541  0.4013  0.7500 x6
Pt  0.0756  0.6884  0.7500 x6

---

Entry 5:
The following is a DFT calculation (PBE-GGA) of a relaxed structure of GaCu2HPd.

As for the distance to the lowest polymorph of the same formula: 37 meV/atom. Its crystal system is tetragonal.

a = 3.6508 Å, b = 3.6508 Å, c = 4.3235 Å
α = 90.00°, β = 90.00°, γ = 90.00°
Space group P4/mmm (No. 123)
One atom of each set of equivalent atoms:
Ga  0.0000  0.0000  0.0000 x1
Cu  0.0000  0.5000  0.5000 x2
H  0.0000  0.0000  0.5000 x1
Pd  0.5000  0.5000  0.0000 x1

---

Entry 6:
The following is a DFT calculation (PBE-GGA) of a relaxed structure of TaCdNiMo2.

The formation energy is 2.15 eV per atom. Its crystal system is tetragonal.

a = 4.8471 Å, b = 4.8471 Å, c = 4.3666 Å
α = 90.00°, β = 90.00°, γ = 90.00°
Space group P4/mmm (No. 123)
One atom of each set of equivalent atoms:
Ta  0.0000  0.0000  0.0000 x1
Cd  0.5000  0.5000  0.5000 x1
Ni  0.5000  0.5000  0.0000 x1
Mo  0.0000  0.5000  0.5000 x2

---

Entry 7:
The following is a DFT calculation (PBE-GGA) of a relaxed structure of MgBr.

Its formation energy from raw total energies is -0.141 eV per atom. Its crystal system is cubic.

a = 7.6120 Å, b = 7.6120 Å, c = 7.6120 Å
α = 90.00°, β = 90.00°, γ = 90.00°
Space group Fd-3m (No. 227, origin choice 2)
One atom of each set of equivalent atoms:
Mg  0.1250  0.1250  0.1250 x8
Br  0.1250  0.1250  0.6250 x8

---

Entry 8:
The following is a DFT calculation (PBE-GGA) of a relaxed structure of MgReBr2.

As for the distance to the lowest polymorph of the same formula: 638 meV/atom. Its formation energy from raw total energies is 0.685 eV per atom. Its crystal system is monoclinic.

a = 6.4262 Å, b = 8.9057 Å, c = 3.3800 Å
α = 90.00°, β = 118.29°, γ = 90.00°
Space group C2/m (No. 12)
One atom of each set of equivalent atoms:
Mg  0.0000  0.0000  0.0000 x2
Re  0.0000  0.5000  0.0000 x2
Br  0.2500  0.2500  0.0000 x4

---

Entry 9:
The following is a DFT calculation (PBE-GGA) of a relaxed structure of Na2PuTl3.

The formation energy is -0.06 eV per atom. Its crystal system is tetragonal.

a = 3.4805 Å, b = 3.4805 Å, c = 13.6752 Å
α = 90.00°, β = 90.00°, γ = 90.00°
Space group P4/mmm (No. 123)
One atom of each set of equivalent atoms:
Na  0.0000  0.0000  0.1685 x2
Pu  0.0000  0.0000  0.5000 x1
Tl  0.5000  0.5000  0.0000 x1
Tl  0.5000  0.5000  0.3324 x2

---

Entry 10:
The following is a DFT calculation (PBE-GGA) of a relaxed structure of DyFe2B3.

The formation energy is -0.45 eV per atom. Its crystal system is orthorhombic.

a = 8.2869 Å, b = 5.8823 Å, c = 5.0374 Å
α = 90.00°, β = 90.00°, γ = 90.00°
Space group Cmcm (No. 63)
One atom of each set of equivalent atoms:
Dy  0.0000  0.1691  0.2500 x4
Fe  0.1939  0.5000  0.0000 x8
B  0.0000  0.3674  0.7500 x4
B  0.1781  0.2088  0.7500 x8

---

Entry 11:
The following is a DFT calculation (PBE-GGA) of a relaxed structure of CaCdSi2.

Its formation energy from raw total energies is -0.071 eV per atom. Its crystal system is monoclinic.

a = 9.1360 Å, b = 3.8288 Å, c = 5.6224 Å
α = 90.00°, β = 111.72°, γ = 90.00°
Space group C2/m (No. 12)
One atom of each set of equivalent atoms:
Ca  0.0000  0.0000  0.0000 x2
Cd  0.0000  0.5000  0.5000 x2
Si  0.2495  0.0000  0.6453 x4

---

Entry 12:
The following is a DFT calculation (PBE-GGA) of a relaxed structure of GeB2Mo2.

The formation energy is 0.23 eV per atom. As for the distance to the lowest polymorph of the same formula: 0 meV/atom. Its crystal system is tetragonal.

a = 6.4236 Å, b = 6.4236 Å, c = 3.0765 Å
α = 90.00°, β = 90.00°, γ = 90.00°
Space group P4/mbm (No. 127)
One atom of each set of equivalent atoms:
Ge  0.0000  0.0000  0.0000 x2
B  0.1087  0.3913  0.5000 x4
Mo  0.1545  0.6545  0.0000 x4

---

Entry 13:
The following is a DFT calculation (PBE-GGA) of a relaxed structure of MgTcB2Os.

The formation energy is 2.61 eV per atom. As for the distance to the lowest polymorph of the same formula: 1592 meV/atom. Its crystal system is tetragonal.

a = 4.0193 Å, b = 4.0193 Å, c = 4.5478 Å
α = 90.00°, β = 90.00°, γ = 90.00°
Space group P4/mmm (No. 123)
One atom of each set of equivalent atoms:
Mg  0.0000  0.0000  0.0000 x1
Tc  0.5000  0.5000  0.5000 x1
B  0.0000  0.5000  0.0000 x2
Os  0.0000  0.0000  0.5000 x1

---

Entry 14:
The following is a DFT calculation (PBE-GGA) of a relaxed structure of GdInSn.

The formation energy is -0.36 eV per atom. As for the distance to the lowest polymorph of the same formula: 45 meV/atom. Its crystal system is tetragonal.

a = 3.7774 Å, b = 3.7774 Å, c = 11.3061 Å
α = 90.00°, β = 90.00°, γ = 90.00°
Space group I4mm (No. 107)
One atom of each set of equivalent atoms:
Gd  0.0000  0.0000  0.0000 x2
In  0.0000  0.0000  0.3200 x2
Sn  0.0000  0.0000  0.6808 x2

---

Entry 15:
The following is a DFT calculation (PBE-GGA) of a relaxed structure of Ac6In2Ru.

The formation energy is -0.22 eV per atom. As for the distance to the lowest polymorph of the same formula: 27 meV/atom. Its crystal system is monoclinic.

a = 7.2695 Å, b = 10.5316 Å, c = 10.6647 Å
α = 90.00°, β = 122.16°, γ = 90.00°
Space group P2_1/c (No. 14)
One atom of each set of equivalent atoms:
Ac  0.1298  0.1358  0.4658 x4
Ac  0.3036  0.7464  0.4370 x4
Ac  0.3182  0.0348  0.1860 x4
In  0.2077  0.0871  0.8178 x4
Ru  0.5000  0.0000  0.5000 x2

---

Entry 16:
The following is a DFT calculation (PBE-GGA) of a relaxed structure of Tb2SmIn.

The formation energy is -0.27 eV per atom. As for the distance to the lowest polymorph of the same formula: 0 meV/atom. Its crystal system is tetragonal.

a = 4.8972 Å, b = 4.8972 Å, c = 4.8680 Å
α = 90.00°, β = 90.00°, γ = 90.00°
Space group P4/mmm (No. 123)
One atom of each set of equivalent atoms:
Tb  0.0000  0.5000  0.0000 x2
Sm  0.0000  0.0000  0.5000 x1
In  0.5000  0.5000  0.5000 x1

---

Entry 17:
The following is a DFT calculation (PBE-GGA) of a relaxed structure of Tc2BSe.

As for the distance to the lowest polymorph of the same formula: 0 meV/atom. Its formation energy from raw total energies is 0.356 eV per atom. Its crystal system is cubic.

a = 5.8541 Å, b = 5.8541 Å, c = 5.8541 Å
α = 90.00°, β = 90.00°, γ = 90.00°
Space group Fm-3m (No. 225)
One atom of each set of equivalent atoms:
Tc  0.2500  0.2500  0.2500 x8
B  0.0000  0.0000  0.0000 x4
Se  0.0000  0.0000  0.5000 x4

---

Entry 18:
The following is a DFT calculation (PBE-GGA) of a relaxed structure of KHfS2Cl.

As for the distance to the lowest polymorph of the same formula: 0 meV/atom. Its formation energy from raw total energies is -1.513 eV per atom. Its crystal system is tetragonal.

a = 4.9763 Å, b = 4.9763 Å, c = 5.1334 Å
α = 90.00°, β = 90.00°, γ = 90.00°
Space group P4/mmm (No. 123)
One atom of each set of equivalent atoms:
K  0.0000  0.0000  0.0000 x1
Hf  0.5000  0.5000  0.5000 x1
S  0.0000  0.5000  0.5000 x2
Cl  0.5000  0.5000  0.0000 x1

---

Entry 19:
The following is a DFT calculation (PBE-GGA) of a relaxed structure of ThMg3Hg4.

The formation energy is -0.25 eV per atom. Its crystal system is trigonal.

a = 4.9205 Å, b = 4.9205 Å, c = 26.6060 Å
α = 90.00°, β = 90.00°, γ = 120.00°
Space group R-3m (No. 166, hexagonal axes)
One atom of each set of equivalent atoms:
Th  0.0000  0.0000  0.0000 x3
Mg  0.0000  0.0000  0.2453 x6
Mg  0.0000  0.0000  0.5000 x3
Hg  0.0000  0.0000  0.1267 x6
Hg  0.0000  0.0000  0.3876 x6

---

Entry 20:
The following is a DFT calculation (PBE-GGA) of a relaxed structure of Er3Tm2Se8.

Its formation energy from raw total energies is -1.691 eV per atom. Its crystal system is monoclinic.

a = 14.1501 Å, b = 8.1033 Å, c = 6.9144 Å
α = 90.00°, β = 109.39°, γ = 90.00°
Space group C2/m (No. 12)
One atom of each set of equivalent atoms:
Er  0.0000  0.0000  0.0000 x2
Er  0.0000  0.2610  0.5000 x4
Tm  0.2431  0.5000  0.1632 x4
Se  0.1191  0.0000  0.4234 x4
Se  0.1191  0.5000  0.4039 x4
Se  0.1238  0.2403  0.9141 x8

---

The records above yield density of states at the Fermi level values of 0.585 0.269 1.470 0.471 0.256 1.735 1.137 0.545 1.409 0.737 0.200 0.345 1.325 0.769 1.206 1.558 0.514 0.064 0.483 0.491 states/eV per atom, respectively.
The records above yield electronic total energy values of -6.014 -5.242 -9.183 -5.787 -4.044 -5.891 -1.775 -3.662 -4.071 -7.379 -3.511 -7.694 -4.696 -7.305 -4.599 -4.448 -7.368 -5.744 -1.931 -5.576 eV/atom, respectively.